No. 1
4
Lattice="2.7749 -2.4811 1.2585 -0.7291 -3.8588 0.1344 1.7671 -2.4229 -2.5390" Properties=species:S:1:pos:R:3 comment="BeSi2B, optimized geometry, DFT PBE" e_form_raw_mev_per_atom=892 energy_ry_per_atom=-0.3249 pbc="T T T"
Si 2.8596 -6.5721 -0.8597
Si 0.9532 -2.1907 -0.2866
Be 0.0000 0.0000 0.0000
B 1.9064 -4.3814 -0.5731

=====

No. 2
5
Lattice="4.7147 0.0000 0.0000 0.0000 4.7147 0.0000 0.0000 0.0000 4.7147" Properties=species:S:1:pos:R:3 comment="KCoPt3, optimized geometry, DFT PBE" delta_e_f_ev_per_atom=0.5730 energy_ry_per_atom=-0.3449 pbc="T T T"
Pt 0.0000 2.3574 0.0000
Pt 2.3574 0.0000 0.0000
Pt 0.0000 0.0000 2.3574
K 2.3574 2.3574 2.3574
Co 0.0000 0.0000 0.0000

=====

No. 3
4
Lattice="5.5726 -2.1535 1.8757 6.1812 1.0015 -0.0159 5.0425 1.1448 3.5317" Properties=species:S:1:pos:R:3 comment="HgClO2, optimized geometry, DFT PBE" e_form_raw_mev_per_atom=703 energy_ry_per_atom=-0.1700 pbc="T T T"
O 14.8869 -0.0064 4.7787
O 1.9093 -0.0008 0.6129
Hg 0.0000 0.0000 0.0000
Cl 8.3981 -0.0036 2.6958

=====

No. 4
5
Lattice="-0.9415 4.9328 2.3071 1.0156 -2.1412 4.9925 5.3501 1.2745 -0.5417" Properties=species:S:1:pos:R:3 comment="TiTlCl3, optimized geometry, DFT PBE" e_form_raw_mev_per_atom=-34 energy_ry_per_atom=-0.2348 pbc="T T T"
Cl -0.4707 2.4664 1.1535
Cl 2.6751 0.6372 -0.2709
Cl 0.5078 -1.0706 2.4963
Tl 0.0000 0.0000 0.0000
Ti 2.7121 2.0330 3.3789

=====

no.,E above lowest polymorph (meV/atom)
1,329.1
2,0.0
3,807.1
4,1222.0